Model 1:
Entry from the Alexandria database: crystalline LiH2N at its relaxed geometry (GGA-PBE).

Cell: 3.376 3.835 10.104 Å, 90.00 90.00 90.00°
Element x y z (fractional)
H (0.963, 0.668, 0.827)
H (0.463, 0.332, 0.673)
N (0.250, 0.250, 0.607)
H (0.463, 0.168, 0.173)
H (0.537, 0.832, 0.827)
H (0.537, 0.668, 0.327)
H (0.037, 0.168, 0.673)
Li (0.750, 0.250, 0.477)
Li (0.750, 0.250, 0.977)
Li (0.250, 0.750, 0.523)
H (0.037, 0.332, 0.173)
N (0.750, 0.750, 0.893)
H (0.963, 0.832, 0.327)
N (0.750, 0.750, 0.393)
Li (0.250, 0.750, 0.023)
N (0.250, 0.250, 0.107)

Model 2:
Entry from the Alexandria database: crystalline LiH2N at its relaxed geometry (GGA-PBE).

Cell: 3.907 5.705 7.175 Å, 90.00 90.00 90.00°
Element x y z (fractional)
H (0.146, 0.125, 0.451)
H (0.164, 0.966, 0.265)
H (0.854, 0.625, 0.049)
H (0.646, 0.375, 0.549)
H (0.336, 0.034, 0.765)
N (0.659, 0.547, 0.592)
H (0.354, 0.875, 0.951)
N (0.341, 0.047, 0.908)
N (0.841, 0.453, 0.092)
Li (0.342, 0.350, 0.059)
H (0.664, 0.534, 0.735)
Li (0.842, 0.150, 0.941)
H (0.836, 0.466, 0.235)
Li (0.658, 0.850, 0.441)
Li (0.158, 0.650, 0.559)
N (0.159, 0.953, 0.408)

Model 3:
Entry from the Alexandria database: crystalline LiH2N at its relaxed geometry (GGA-PBE).

Cell: 4.253 4.398 5.529 Å, 90.00 90.00 90.00°
Element x y z (fractional)
Li (0.250, 0.148, 0.616)
N (0.750, 0.314, 0.486)
H (0.500, 0.500, 0.500)
H (0.250, 0.753, 0.335)
H (0.500, 0.000, 0.000)
H (0.000, 0.500, 0.500)
Li (0.250, 0.648, 0.884)
Li (0.750, 0.852, 0.384)
H (0.750, 0.247, 0.665)
H (0.000, 0.000, 0.000)
N (0.250, 0.686, 0.514)
Li (0.750, 0.352, 0.116)
H (0.750, 0.747, 0.835)
N (0.750, 0.814, 0.014)
N (0.250, 0.186, 0.986)
H (0.250, 0.253, 0.165)

Model 4:
Entry from the Alexandria database: crystalline LiH2N at its relaxed geometry (GGA-PBE).

Cell: 3.856 4.703 5.292 Å, 90.00 90.00 90.00°
Element x y z (fractional)
N (0.683, 0.250, 0.970)
N (0.317, 0.250, 0.470)
H (0.500, 0.500, 0.500)
H (0.635, 0.250, 0.778)
Li (0.075, 0.000, 0.750)
H (0.500, 0.500, 0.000)
H (0.635, 0.750, 0.722)
N (0.317, 0.750, 0.030)
Li (0.925, 0.000, 0.250)
Li (0.075, 0.500, 0.750)
Li (0.925, 0.500, 0.250)
H (0.500, 0.000, 0.000)
H (0.365, 0.250, 0.278)
H (0.365, 0.750, 0.222)
N (0.683, 0.750, 0.530)
H (0.500, 0.000, 0.500)

Q: Which of them is the most stable? A: model 1.

Model 1:
Entry from the Alexandria database: crystalline LiHSe2N at its relaxed geometry (GGA-PBE).

Cell: 4.633 4.633 3.394 Å, 90.00 90.00 90.00°
Element x y z (fractional)
Li (0.000, 0.000, 0.000)
H (0.500, 0.500, 0.500)
Se (0.000, 0.500, 0.000)
Se (0.500, 0.000, 0.000)
N (0.000, 0.000, 0.500)

Model 2:
Entry from the Alexandria database: crystalline LiHSe2N at its relaxed geometry (GGA-PBE).

Cell: 4.162 3.759 4.162 Å, 90.00 90.00 90.00°
Element x y z (fractional)
H (0.000, 0.000, 0.000)
Se (0.500, 0.000, 0.000)
Li (0.000, 0.500, 0.000)
N (0.500, 0.500, 0.500)
Se (0.000, 0.000, 0.500)

Q: Which of them is the most stable? A: model 2.

Model 1:
Entry from the Alexandria database: crystalline NaLi2H2 at its relaxed geometry (GGA-PBE).

Cell: 3.680 3.680 5.743 Å, 71.31 71.31 90.00°
Element x y z (fractional)
Na (0.000, 0.000, 0.000)
H (0.250, 0.750, 0.500)
Li (0.292, 0.292, 0.415)
Li (0.708, 0.708, 0.585)
H (0.750, 0.250, 0.500)

Model 2:
Entry from the Alexandria database: crystalline NaLi2H2 at its relaxed geometry (GGA-PBE).

Cell: 7.186 7.186 3.157 Å, 90.00 90.00 90.00°
Element x y z (fractional)
H (0.263, 0.237, 0.000)
Li (0.846, 0.346, 0.500)
Na (0.500, 0.500, 0.000)
Li (0.154, 0.654, 0.500)
Li (0.654, 0.846, 0.500)
H (0.737, 0.763, 0.000)
Na (0.000, 0.000, 0.000)
Li (0.346, 0.154, 0.500)
H (0.237, 0.737, 0.000)
H (0.763, 0.263, 0.000)

Model 3:
Entry from the Alexandria database: crystalline NaLi2H2 at its relaxed geometry (GGA-PBE).

Cell: 3.712 3.712 6.169 Å, 72.49 72.49 90.00°
Element x y z (fractional)
Li (0.250, 0.750, 0.500)
Na (0.000, 0.000, 0.000)
H (0.782, 0.782, 0.436)
Li (0.750, 0.250, 0.500)
H (0.218, 0.218, 0.564)

Q: Which of them is the most stable? A: model 3.

Model 1:
Entry from the Alexandria database: crystalline Na2LiH3 at its relaxed geometry (GGA-PBE).

Cell: 7.208 7.208 7.208 Å, 153.95 153.95 37.18°
Element x y z (fractional)
Na (0.338, 0.338, 0.000)
H (0.500, 0.500, 0.000)
H (0.843, 0.843, 0.000)
Li (0.000, 0.000, 0.000)
H (0.157, 0.157, 0.000)
Na (0.662, 0.662, 0.000)

Model 2:
Entry from the Alexandria database: crystalline Na2LiH3 at its relaxed geometry (GGA-PBE).

Cell: 4.663 6.381 5.591 Å, 106.59 114.65 90.00°
Element x y z (fractional)
H (0.149, 0.575, 0.298)
H (0.533, 0.750, 0.000)
Li (0.972, 0.750, 0.000)
Na (0.664, 0.582, 0.329)
Na (0.665, 0.082, 0.329)
H (0.851, 0.425, 0.702)
H (0.467, 0.250, 0.000)
H (0.149, 0.075, 0.298)
Na (0.336, 0.418, 0.671)
Na (0.335, 0.918, 0.671)
Li (0.028, 0.250, 0.000)
H (0.851, 0.925, 0.702)

Q: Which of them is the most stable? A: model 2.

Model 1:
Entry from the Alexandria database: crystalline Na2LiHPb at its relaxed geometry (GGA-PBE).

Cell: 5.100 5.100 3.988 Å, 90.00 90.00 90.00°
Element x y z (fractional)
Na (0.000, 0.500, 0.000)
Na (0.500, 0.000, 0.000)
H (0.000, 0.000, 0.000)
Li (0.000, 0.000, 0.500)
Pb (0.500, 0.500, 0.500)

Model 2:
Entry from the Alexandria database: crystalline Na2LiHPb at its relaxed geometry (GGA-PBE).

Cell: 4.777 4.777 4.835 Å, 90.00 90.00 90.00°
Element x y z (fractional)
Pb (0.000, 0.000, 0.500)
Na (0.000, 0.500, 0.000)
H (0.000, 0.000, 0.000)
Li (0.500, 0.500, 0.500)
Na (0.500, 0.000, 0.000)

Q: Which of them is the most stable? A: model 1.

Model 1:
Entry from the Alexandria database: crystalline NaLiHRh2 at its relaxed geometry (GGA-PBE).

Cell: 3.830 3.830 4.427 Å, 90.00 90.00 90.00°
Each line ends with the local moment (μB).
Element x y z (fractional)
H (0.000, 0.000, 0.000)  0.00
Li (0.000, 0.000, 0.500)  0.00
Rh (0.500, 0.000, 0.000)  0.07
Na (0.500, 0.500, 0.500)  0.00
Rh (0.000, 0.500, 0.000)  0.07

Model 2:
Entry from the Alexandria database: crystalline NaLiHRh2 at its relaxed geometry (GGA-PBE).

Cell: 4.760 4.017 4.760 Å, 90.00 90.00 90.00°
Each line ends with the local moment (μB).
Element x y z (fractional)
Na (0.000, 0.000, 0.000)  -0.01
Li (0.000, 0.500, 0.000)  -0.01
H (0.500, 0.500, 0.500)  0.00
Rh (0.500, 0.000, 0.000)  0.57
Rh (0.000, 0.000, 0.500)  0.70

Q: Which of them is the most stable? A: model 1.